Entry 1:
# HfTaBeTc

An optimized crystal structure of HfTaBeTc (PBE, Alexandria).

VASP energy = -36.494 eV/f.u.
DOS(E_F) = 6.841 states/eV/cell

```
data_HfTaBeTc
_cell_length_a 6.3522
_cell_length_b 6.3522
_cell_length_c 6.3522
_cell_angle_alpha 90.00
_cell_angle_beta 90.00
_cell_angle_gamma 90.00
_symmetry_space_group_name_H-M 'F -4 3 m'
_symmetry_Int_Tables_number 216
_symmetry_space_group_name_Hall 'F -4 2 3'
loop_
_atom_site_label
_atom_site_type_symbol
_atom_site_fract_x
_atom_site_fract_y
_atom_site_fract_z
Hf1 Hf 0.0000 0.0000 0.0000
Ta1 Ta 0.0000 0.0000 0.5000
Be1 Be 0.2500 0.2500 0.2500
Tc1 Tc 0.2500 0.2500 0.7500
```

***

Entry 2:
# BaSb2Os

An optimized crystal structure of BaSb2Os (PBE, Alexandria).

Raw formation energy = 0.064 eV/atom
DOS(E_F) = 6.722 states/eV/cell

```
data_BaSb2Os
_cell_length_a 3.5219
_cell_length_b 3.8576
_cell_length_c 16.1947
_cell_angle_alpha 90.00
_cell_angle_beta 90.00
_cell_angle_gamma 90.00
_symmetry_space_group_name_H-M 'I m m 2'
_symmetry_Int_Tables_number 44
loop_
_symmetry_equiv_pos_as_xyz
'x,y,z'
'-x,-y,z'
'-x,y,z'
'x,-y,z'
'x+1/2,y+1/2,z+1/2'
'-x+1/2,-y+1/2,z+1/2'
'-x+1/2,y+1/2,z+1/2'
'x+1/2,-y+1/2,z+1/2'
loop_
_atom_site_label
_atom_site_type_symbol
_atom_site_fract_x
_atom_site_fract_y
_atom_site_fract_z
Ba1 Ba 0.0000 0.0000 0.0000
Sb1 Sb 0.0000 0.0000 0.6398
Sb2 Sb 0.0000 0.5000 0.3182
Os1 Os 0.0000 0.5000 0.7519
```

***

Entry 3:
# Mg2ZrPd6

An optimized crystal structure of Mg2ZrPd6 (PBE, Alexandria).

VASP energy = -47.097 eV/f.u.
DOS(E_F) = 6.884 states/eV/cell

```
data_Mg2ZrPd6
_cell_length_a 14.1618
_cell_length_b 7.5955
_cell_length_c 2.9200
_cell_angle_alpha 90.00
_cell_angle_beta 101.41
_cell_angle_gamma 90.00
_symmetry_space_group_name_H-M 'C 1 2/m 1'
_symmetry_Int_Tables_number 12
loop_
_symmetry_equiv_pos_as_xyz
'x,y,z'
'-x,-y,-z'
'-x,y,-z'
'x,-y,z'
'x+1/2,y+1/2,z'
'-x+1/2,-y+1/2,-z'
'-x+1/2,y+1/2,-z'
'x+1/2,-y+1/2,z'
loop_
_atom_site_label
_atom_site_type_symbol
_atom_site_fract_x
_atom_site_fract_y
_atom_site_fract_z
Mg1 Mg 0.1689 0.0000 0.1759
Zr1 Zr 0.0000 0.5000 0.5000
Pd1 Pd 0.0000 0.1874 0.0000
Pd2 Pd 0.1660 0.3045 0.6685
```

***

Entry 4:
# Li9Mg4Zn

An optimized crystal structure of Li9Mg4Zn (PBE, Alexandria).

VASP energy = -24.666 eV/f.u.
DOS(E_F) = 10.476 states/eV/cell

```
data_Li9Mg4Zn
_cell_length_a 8.7519
_cell_length_b 8.7519
_cell_length_c 9.3025
_cell_angle_alpha 90.00
_cell_angle_beta 90.00
_cell_angle_gamma 120.00
_symmetry_space_group_name_H-M 'P 63/m m c'
_symmetry_Int_Tables_number 194
_symmetry_space_group_name_Hall '-P 6c 2c'
loop_
_atom_site_label
_atom_site_type_symbol
_atom_site_fract_x
_atom_site_fract_y
_atom_site_fract_z
Li1 Li 0.0673 0.5337 0.2500
Li2 Li 0.2043 0.4085 0.5504
Mg1 Mg 0.0000 0.0000 0.0000
Mg2 Mg 0.1181 0.2362 0.2500
Zn1 Zn 0.3333 0.6667 0.7500
```

***

Entry 5:
# Cr5NiSn12

An optimized crystal structure of Cr5NiSn12 (PBE, Alexandria).

VASP energy = -100.626 eV/f.u.
DOS(E_F) = 22.117 states/eV/cell

```
data_Cr5NiSn12
_cell_length_a 5.5867
_cell_length_b 9.4001
_cell_length_c 13.8391
_cell_angle_alpha 90.00
_cell_angle_beta 90.00
_cell_angle_gamma 90.00
_symmetry_space_group_name_H-M 'C 2 2 2'
_symmetry_Int_Tables_number 21
loop_
_symmetry_equiv_pos_as_xyz
'x,y,z'
'-x,-y,z'
'x,-y,-z'
'-x,y,-z'
'x+1/2,y+1/2,z'
'-x+1/2,-y+1/2,z'
'x+1/2,-y+1/2,-z'
'-x+1/2,y+1/2,-z'
loop_
_atom_site_label
_atom_site_type_symbol
_atom_site_fract_x
_atom_site_fract_y
_atom_site_fract_z
Cr1 Cr 0.0000 0.0000 0.0000
Cr2 Cr 0.0000 0.5000 0.3300
Cr3 Cr 0.2500 0.2500 0.6677
Ni1 Ni 0.0000 0.5000 0.0000
Sn1 Sn 0.0000 0.0000 0.3884
Sn2 Sn 0.0000 0.3323 0.5000
Sn3 Sn 0.2492 0.4198 0.8364
Sn4 Sn 0.2500 0.2500 0.0533
Sn5 Sn 0.2500 0.2500 0.2753
```

***

Entry 6:
# K2Cd7

An optimized crystal structure of K2Cd7 (PBE, Alexandria).

VASP energy = -9.295 eV/f.u.
DOS(E_F) = 27.621 states/eV/cell

```
data_K2Cd7
_cell_length_a 6.2754
_cell_length_b 6.2754
_cell_length_c 44.9565
_cell_angle_alpha 90.00
_cell_angle_beta 90.00
_cell_angle_gamma 120.00
_symmetry_space_group_name_H-M 'R -3 m'
_symmetry_Int_Tables_number 166
_symmetry_space_group_name_Hall '-R 3 2"'
loop_
_atom_site_label
_atom_site_type_symbol
_atom_site_fract_x
_atom_site_fract_y
_atom_site_fract_z
K1 K 0.0000 0.0000 0.0535
K2 K 0.0000 0.0000 0.1516
Cd1 Cd 0.0000 0.0000 0.2790
Cd2 Cd 0.0000 0.0000 0.3878
Cd3 Cd 0.0000 0.0000 0.5000
Cd4 Cd 0.0000 0.5000 0.0000
Cd5 Cd 0.0018 0.5009 0.8899
```

***

Entry 7:
# Pm7PrSm12

An optimized crystal structure of Pm7PrSm12 (PBE, Alexandria).

Energy above the most stable polymorph in this dataset = 0 meV/atom
DOS(E_F) = 68.754 states/eV/cell

```
data_Pm7PrSm12
_cell_length_a 13.0462
_cell_length_b 13.0462
_cell_length_c 14.1350
_cell_angle_alpha 90.00
_cell_angle_beta 90.00
_cell_angle_gamma 120.00
_symmetry_space_group_name_H-M 'R -3'
_symmetry_Int_Tables_number 148
_symmetry_space_group_name_Hall '-R 3'
loop_
_atom_site_label
_atom_site_type_symbol
_atom_site_fract_x
_atom_site_fract_y
_atom_site_fract_z
Pm1 Pm 0.0000 0.0000 0.0000
Pm2 Pm 0.0665 0.2020 0.3498
Pr1 Pr 0.0000 0.0000 0.5000
Sm1 Sm 0.0030 0.5690 0.7471
Sm2 Sm 0.0670 0.8681 0.8436
```

***

Entry 8:
# CeErMg2Tl2

An optimized crystal structure of CeErMg2Tl2 (PBE, Alexandria).

VASP energy = -19.779 eV/f.u.
DOS(E_F) = 8.443 states/eV/cell

```
data_CeErMg2Tl2
_cell_length_a 4.9748
_cell_length_b 4.9748
_cell_length_c 7.2887
_cell_angle_alpha 90.00
_cell_angle_beta 90.00
_cell_angle_gamma 120.00
_symmetry_space_group_name_H-M 'P -3 m 1'
_symmetry_Int_Tables_number 164
_symmetry_space_group_name_Hall '-P 3 2"'
loop_
_atom_site_label
_atom_site_type_symbol
_atom_site_fract_x
_atom_site_fract_y
_atom_site_fract_z
Ce1 Ce 0.0000 0.0000 0.0000
Er1 Er 0.0000 0.0000 0.5000
Mg1 Mg 0.3333 0.6667 0.7322
Tl1 Tl 0.3333 0.6667 0.2488
```

***

Entry 9:
# VCdReGe2

An optimized crystal structure of VCdReGe2 (PBE, Alexandria).

VASP energy = -20.855 eV/f.u.
DOS(E_F) = 7.760 states/eV/cell

```
data_VCdReGe2
_cell_length_a 4.8838
_cell_length_b 4.8838
_cell_length_c 5.1304
_cell_angle_alpha 90.00
_cell_angle_beta 90.00
_cell_angle_gamma 90.00
_symmetry_space_group_name_H-M 'P 4/m m m'
_symmetry_Int_Tables_number 123
_symmetry_space_group_name_Hall '-P 4 2'
loop_
_atom_site_label
_atom_site_type_symbol
_atom_site_fract_x
_atom_site_fract_y
_atom_site_fract_z
V1 V 0.0000 0.0000 0.0000
Cd1 Cd 0.5000 0.5000 0.5000
Re1 Re 0.5000 0.5000 0.0000
Ge1 Ge 0.0000 0.5000 0.5000
```

***

Entry 10:
# La5Nd12Er2

An optimized crystal structure of La5Nd12Er2 (PBE, Alexandria).

Energy above the most stable polymorph in this dataset = 88 meV/atom
DOS(E_F) = 59.834 states/eV/cell

```
data_La5Nd12Er2
_cell_length_a 18.3701
_cell_length_b 9.3683
_cell_length_c 8.9619
_cell_angle_alpha 90.00
_cell_angle_beta 117.60
_cell_angle_gamma 90.00
_symmetry_space_group_name_H-M 'C 1 2/m 1'
_symmetry_Int_Tables_number 12
loop_
_symmetry_equiv_pos_as_xyz
'x,y,z'
'-x,-y,-z'
'-x,y,-z'
'x,-y,z'
'x+1/2,y+1/2,z'
'-x+1/2,-y+1/2,-z'
'-x+1/2,y+1/2,-z'
'x+1/2,-y+1/2,z'
loop_
_atom_site_label
_atom_site_type_symbol
_atom_site_fract_x
_atom_site_fract_y
_atom_site_fract_z
La1 La 0.0000 0.0000 0.0000
La2 La 0.2090 0.5000 0.7213
La3 La 0.2384 0.0000 0.7955
Nd1 Nd 0.0476 0.0000 0.6865
Nd2 Nd 0.0609 0.5000 0.2225
Nd3 Nd 0.1267 0.2775 0.9581
Nd4 Nd 0.1464 0.1856 0.4062
Er1 Er 0.0000 0.3269 0.5000
```

***

Entry 11:
# MnCdSi2

An optimized crystal structure of MnCdSi2 (PBE, Alexandria).

Raw formation energy = 0.360 eV/atom
DOS(E_F) = 3.581 states/eV/cell

```
data_MnCdSi2
_cell_length_a 3.9343
_cell_length_b 3.9343
_cell_length_c 8.1528
_cell_angle_alpha 90.00
_cell_angle_beta 90.00
_cell_angle_gamma 90.00
_symmetry_space_group_name_H-M 'I 4/m m m'
_symmetry_Int_Tables_number 139
_symmetry_space_group_name_Hall '-I 4 2'
loop_
_atom_site_label
_atom_site_type_symbol
_atom_site_fract_x
_atom_site_fract_y
_atom_site_fract_z
Mn1 Mn 0.0000 0.0000 0.0000
Cd1 Cd 0.0000 0.0000 0.5000
Si1 Si 0.0000 0.5000 0.2500
```

***

Entry 12:
# LaMn2CrIr

An optimized crystal structure of LaMn2CrIr (PBE, Alexandria).

VASP energy = -37.238 eV/f.u.
DOS(E_F) = 4.887 states/eV/cell

```
data_LaMn2CrIr
_cell_length_a 4.3115
_cell_length_b 4.3115
_cell_length_c 5.2663
_cell_angle_alpha 90.00
_cell_angle_beta 90.00
_cell_angle_gamma 90.00
_symmetry_space_group_name_H-M 'P 4/m m m'
_symmetry_Int_Tables_number 123
_symmetry_space_group_name_Hall '-P 4 2'
loop_
_atom_site_label
_atom_site_type_symbol
_atom_site_fract_x
_atom_site_fract_y
_atom_site_fract_z
La1 La 0.0000 0.0000 0.0000
Mn1 Mn 0.0000 0.5000 0.5000
Cr1 Cr 0.0000 0.0000 0.5000
Ir1 Ir 0.5000 0.5000 0.0000
```

***

Entry 13:
# MoPt2Se

An optimized crystal structure of MoPt2Se (PBE, Alexandria).

Raw formation energy = 0.269 eV/atom
DOS(E_F) = 2.421 states/eV/cell

```
data_MoPt2Se
_cell_length_a 4.9263
_cell_length_b 4.9263
_cell_length_c 2.7486
_cell_angle_alpha 90.00
_cell_angle_beta 90.00
_cell_angle_gamma 90.00
_symmetry_space_group_name_H-M 'P 4/m m m'
_symmetry_Int_Tables_number 123
_symmetry_space_group_name_Hall '-P 4 2'
loop_
_atom_site_label
_atom_site_type_symbol
_atom_site_fract_x
_atom_site_fract_y
_atom_site_fract_z
Mo1 Mo 0.0000 0.0000 0.0000
Pt1 Pt 0.0000 0.5000 0.5000
Se1 Se 0.5000 0.5000 0.0000
```

***

Entry 14:
# AlHg2Pt

An optimized crystal structure of AlHg2Pt (PBE, Alexandria).

VASP energy = -11.256 eV/f.u.
DOS(E_F) = 1.200 states/eV/cell

```
data_AlHg2Pt
_cell_length_a 2.8412
_cell_length_b 3.4308
_cell_length_c 8.3794
_cell_angle_alpha 90.00
_cell_angle_beta 90.00
_cell_angle_gamma 90.00
_symmetry_space_group_name_H-M 'P m m 2'
_symmetry_Int_Tables_number 25
loop_
_symmetry_equiv_pos_as_xyz
'x,y,z'
'-x,-y,z'
'-x,y,z'
'x,-y,z'
loop_
_atom_site_label
_atom_site_type_symbol
_atom_site_fract_x
_atom_site_fract_y
_atom_site_fract_z
Al1 Al 0.0000 0.0000 0.0000
Hg1 Hg 0.0000 0.0000 0.5904
Hg2 Hg 0.5000 0.5000 0.2786
Pt1 Pt 0.5000 0.5000 0.8540
```

***

Entry 15:
# ErAl2Ga4

An optimized crystal structure of ErAl2Ga4 (PBE, Alexandria).

Energy above the most stable polymorph in this dataset = 0 meV/atom
DOS(E_F) = 8.438 states/eV/cell

```
data_ErAl2Ga4
_cell_length_a 4.1341
_cell_length_b 4.1341
_cell_length_c 30.2420
_cell_angle_alpha 90.00
_cell_angle_beta 90.00
_cell_angle_gamma 120.00
_symmetry_space_group_name_H-M 'R -3 m'
_symmetry_Int_Tables_number 166
_symmetry_space_group_name_Hall '-R 3 2"'
loop_
_atom_site_label
_atom_site_type_symbol
_atom_site_fract_x
_atom_site_fract_y
_atom_site_fract_z
Er1 Er 0.0000 0.0000 0.0000
Al1 Al 0.0000 0.0000 0.1878
Ga1 Ga 0.0000 0.0000 0.0995
Ga2 Ga 0.0000 0.0000 0.2738
```

***

Entry 16:
# Fe2Rh

An optimized crystal structure of Fe2Rh (PBE, Alexandria).

VASP energy = -23.288 eV/f.u.
DOS(E_F) = 16.437 states/eV/cell

```
data_Fe2Rh
_cell_length_a 2.6070
_cell_length_b 3.8977
_cell_length_c 16.4728
_cell_angle_alpha 90.00
_cell_angle_beta 90.00
_cell_angle_gamma 90.00
_symmetry_space_group_name_H-M 'I m m a'
_symmetry_Int_Tables_number 74
_symmetry_space_group_name_Hall '-I 2b 2'
loop_
_atom_site_label
_atom_site_type_symbol
_atom_site_fract_x
_atom_site_fract_y
_atom_site_fract_z
Fe1 Fe 0.0000 0.2500 0.0380
Fe2 Fe 0.0000 0.2500 0.1868
Rh1 Rh 0.0000 0.2500 0.6128
```

***

Entry 17:
# LiPuUSe4

An optimized crystal structure of LiPuUSe4 (PBE, Alexandria).

Raw formation energy = -1.277 eV/atom
DOS(E_F) = 71.693 states/eV/cell

```
data_LiPuUSe4
_cell_length_a 8.3000
_cell_length_b 8.3309
_cell_length_c 11.8104
_cell_angle_alpha 90.00
_cell_angle_beta 90.00
_cell_angle_gamma 90.00
_symmetry_space_group_name_H-M 'I m m a'
_symmetry_Int_Tables_number 74
_symmetry_space_group_name_Hall '-I 2b 2'
loop_
_atom_site_label
_atom_site_type_symbol
_atom_site_fract_x
_atom_site_fract_y
_atom_site_fract_z
Li1 Li 0.0000 0.2500 0.1209
Pu1 Pu 0.0000 0.0000 0.5000
U1 U 0.2500 0.2500 0.7500
Se1 Se 0.0000 0.0155 0.7471
Se2 Se 0.2420 0.2500 0.5118
```

***

Entry 18:
# Ac2CoCu3Ge4

An optimized crystal structure of Ac2CoCu3Ge4 (PBE, Alexandria).

VASP energy = -50.645 eV/f.u.
DOS(E_F) = 6.641 states/eV/cell

```
data_Ac2CoCu3Ge4
_cell_length_a 4.3592
_cell_length_b 4.3592
_cell_length_c 10.1210
_cell_angle_alpha 90.00
_cell_angle_beta 90.00
_cell_angle_gamma 90.00
_symmetry_space_group_name_H-M 'P -4 m 2'
_symmetry_Int_Tables_number 115
loop_
_symmetry_equiv_pos_as_xyz
'x,y,z'
'y,-x,-z'
'-x,-y,z'
'-y,x,-z'
'-x,y,z'
'-y,-x,-z'
'x,-y,z'
'y,x,-z'
loop_
_atom_site_label
_atom_site_type_symbol
_atom_site_fract_x
_atom_site_fract_y
_atom_site_fract_z
Ac1 Ac 0.0000 0.5000 0.2441
Co1 Co 0.5000 0.5000 0.0000
Cu1 Cu 0.0000 0.0000 0.0000
Cu2 Cu 0.0000 0.5000 0.6279
Ge1 Ge 0.0000 0.0000 0.5000
Ge2 Ge 0.0000 0.5000 0.8818
Ge3 Ge 0.5000 0.5000 0.5000
```

***

Entry 19:
# La2EuOs

An optimized crystal structure of La2EuOs (PBE, Alexandria).

Energy above the most stable polymorph in this dataset = 0 meV/atom
DOS(E_F) = 8.265 states/eV/cell

```
data_La2EuOs
_cell_length_a 4.2352
_cell_length_b 4.2352
_cell_length_c 28.4978
_cell_angle_alpha 90.00
_cell_angle_beta 90.00
_cell_angle_gamma 120.00
_symmetry_space_group_name_H-M 'R -3 m'
_symmetry_Int_Tables_number 166
_symmetry_space_group_name_Hall '-R 3 2"'
loop_
_atom_site_label
_atom_site_type_symbol
_atom_site_fract_x
_atom_site_fract_y
_atom_site_fract_z
La1 La 0.0000 0.0000 0.2181
Eu1 Eu 0.0000 0.0000 0.0000
Os1 Os 0.0000 0.0000 0.5000
```

***

Entry 20:
# Pm2Dy2Hg

An optimized crystal structure of Pm2Dy2Hg (PBE, Alexandria).

Energy above the most stable polymorph in this dataset = 111 meV/atom
DOS(E_F) = 27.301 states/eV/cell

```
data_Pm2Dy2Hg
_cell_length_a 8.4206
_cell_length_b 9.4623
_cell_length_c 8.4769
_cell_angle_alpha 90.00
_cell_angle_beta 115.26
_cell_angle_gamma 90.00
_symmetry_space_group_name_H-M 'C 1 2/m 1'
_symmetry_Int_Tables_number 12
loop_
_symmetry_equiv_pos_as_xyz
'x,y,z'
'-x,-y,-z'
'-x,y,-z'
'x,-y,z'
'x+1/2,y+1/2,z'
'-x+1/2,-y+1/2,-z'
'-x+1/2,y+1/2,-z'
'x+1/2,-y+1/2,z'
loop_
_atom_site_label
_atom_site_type_symbol
_atom_site_fract_x
_atom_site_fract_y
_atom_site_fract_z
Pm1 Pm 0.0802 0.1876 0.2176
Dy1 Dy 0.1574 0.5000 0.9323
Dy2 Dy 0.2219 0.0000 0.6137
Hg1 Hg 0.0000 0.3372 0.5000
```